1.
VASP calculation (GGA-PBE) on a geometry-optimized ZrTl2Te3O12 structure.

## Properties
- Energy relative to the elements, uncorrected: -1.34 eV per atom
- Raw total energy: -5.91 eV/atom
- Density of states at the Fermi level: 0.0 states/eV/cell

Cell lengths 7.3232, 7.3232, 18.4073 Å; angles 90.00, 90.00, 120.00 degrees
Space group R-3m (No. 166, hexagonal axes)
Inequivalent atoms, fractional coordinates:
Zr 0.0000 0.0000 0.0000 (multiplicity 3)
Tl 0.0000 0.0000 0.3689 (multiplicity 6)
Te 0.0000 0.5000 0.5000 (multiplicity 9)
O 0.0633 0.5316 0.6009 (multiplicity 18)
O 0.0690 0.5345 0.8554 (multiplicity 18)

=====

2.
VASP calculation (GGA-PBE) on a geometry-optimized ZrTl3Te2O9 structure.

## Properties
- Energy relative to the elements, uncorrected: -1.26 eV per atom
- Raw total energy: -5.70 eV/atom
- Density of states at the Fermi level: 5.9 states/eV/cell

Cell lengths 5.8919, 5.8919, 7.2012 Å; angles 90.00, 90.00, 120.00 degrees
Space group P-3m1 (No. 164)
Inequivalent atoms, fractional coordinates:
Zr 0.0000 0.0000 0.0000 (multiplicity 1)
Tl 0.0000 0.0000 0.5000 (multiplicity 1)
Tl 0.3333 0.6667 0.1758 (multiplicity 2)
Te 0.3333 0.6667 0.6729 (multiplicity 2)
O 0.0000 0.5000 0.5000 (multiplicity 3)
O 0.1732 0.3463 0.8307 (multiplicity 6)

=====

3.
VASP calculation (GGA-PBE) on a geometry-optimized Tm2TeO3 structure.

## Properties
- Energy relative to the elements, uncorrected: -2.82 eV per atom
- Raw total energy: -7.31 eV/atom
- Density of states at the Fermi level: 3.6 states/eV/cell

Cell lengths 12.384, 3.797, 9.504 Å; angles 90.00, 115.08, 90.00 degrees
Space group C2/m (No. 12)
Inequivalent atoms, fractional coordinates:
Tm 0.023 0.000 0.266 (multiplicity 4)
Tm 0.159 0.500 0.058 (multiplicity 4)
Te 0.134 0.500 0.576 (multiplicity 4)
O 0.019 0.500 0.153 (multiplicity 4)
O 0.155 0.000 0.920 (multiplicity 4)
O 0.198 0.000 0.233 (multiplicity 4)

=====

4.
VASP calculation (GGA-PBE) on a geometry-optimized TmTe2O8 structure.

## Properties
- Energy relative to the elements, uncorrected: -1.09 eV per atom
- Raw total energy: -5.67 eV/atom
- Density of states at the Fermi level: 15.1 states/eV/cell

Cell lengths 5.148, 5.148, 10.807 Å; angles 90.00, 90.00, 90.00 degrees
Space group I422 (No. 97)
Inequivalent atoms, fractional coordinates:
Tm 0.000 0.000 0.000 (multiplicity 2)
Te 0.000 0.500 0.250 (multiplicity 4)
O 0.193 0.295 0.866 (multiplicity 16)

=====

5.
VASP calculation (GGA-PBE) on a geometry-optimized Tm2TeO2 structure.

## Properties
- Energy relative to the elements, uncorrected: -2.90 eV per atom
- Raw total energy: -7.30 eV/atom
- Density of states at the Fermi level: 0.0 states/eV/cell

Cell lengths 3.8519, 3.8519, 7.1425 Å; angles 90.00, 90.00, 120.00 degrees
Space group P-3m1 (No. 164)
Inequivalent atoms, fractional coordinates:
Tm 0.3333 0.6667 0.3064 (multiplicity 2)
Te 0.0000 0.0000 0.0000 (multiplicity 1)
O 0.3333 0.6667 0.6193 (multiplicity 2)

=====

6.
VASP calculation (GGA-PBE) on a geometry-optimized Tm2TeO structure.

## Properties
- Energy relative to the elements, uncorrected: -1.82 eV per atom
- Raw total energy: -6.08 eV/atom
- Density of states at the Fermi level: 2.9 states/eV/cell

Cell lengths 3.7232, 3.7232, 20.1090 Å; angles 90.00, 90.00, 120.00 degrees
Space group R-3m (No. 166, hexagonal axes)
Inequivalent atoms, fractional coordinates:
Tm 0.0000 0.0000 0.2266 (multiplicity 6)
Te 0.0000 0.0000 0.0000 (multiplicity 3)
O 0.0000 0.0000 0.5000 (multiplicity 3)

=====

7.
VASP calculation (GGA-PBE) on a geometry-optimized Tm2TeO6 structure.

## Properties
- Energy relative to the elements, uncorrected: -2.54 eV per atom
- Raw total energy: -7.19 eV/atom
- Density of states at the Fermi level: 0.0 states/eV/cell

Cell lengths 4.940, 4.940, 9.952 Å; angles 90.00, 90.00, 90.00 degrees
Space group P4_2/mnm (No. 136)
Inequivalent atoms, fractional coordinates:
Tm 0.000 0.000 0.165 (multiplicity 4)
Te 0.000 0.000 0.500 (multiplicity 2)
O 0.184 0.184 0.352 (multiplicity 8)
O 0.219 0.219 0.000 (multiplicity 4)

=====

8.
VASP calculation (GGA-PBE) on a geometry-optimized Tm6TeO12 structure.

## Properties
- Energy relative to the elements, uncorrected: -3.19 eV per atom
- Raw total energy: -7.90 eV/atom
- Density of states at the Fermi level: 0.0 states/eV/cell

Cell lengths 9.7146, 9.7146, 9.2430 Å; angles 90.00, 90.00, 120.00 degrees
Space group R-3 (No. 148, hexagonal axes)
Inequivalent atoms, fractional coordinates:
Tm 0.0397 0.7874 0.1424 (multiplicity 18)
Te 0.0000 0.0000 0.5000 (multiplicity 3)
O 0.0309 0.8083 0.9000 (multiplicity 18)
O 0.0384 0.8507 0.3872 (multiplicity 18)

=====

9.
VASP calculation (GGA-PBE) on a geometry-optimized Tm2TeO2 structure.

## Properties
- Energy relative to the elements, uncorrected: -2.91 eV per atom
- Raw total energy: -7.31 eV/atom
- Density of states at the Fermi level: 0.0 states/eV/cell

Cell lengths 3.8555, 3.8555, 14.2482 Å; angles 90.00, 90.00, 120.00 degrees
Space group P6_3/mmc (No. 194)
Inequivalent atoms, fractional coordinates:
Tm 0.3333 0.6667 0.0970 (multiplicity 4)
Te 0.0000 0.0000 0.2500 (multiplicity 2)
O 0.3333 0.6667 0.5600 (multiplicity 4)

=====

10.
VASP calculation (GGA-PBE) on a geometry-optimized TmTeO structure.

## Properties
- Energy relative to the elements, uncorrected: -2.21 eV per atom
- Raw total energy: -6.40 eV/atom
- Density of states at the Fermi level: 1.5 states/eV/cell

Cell lengths 3.5751, 3.5751, 6.5738 Å; angles 90.00, 90.00, 120.00 degrees
Space group P3m1 (No. 156)
Inequivalent atoms, fractional coordinates:
Tm 0.0000 0.0000 0.0000 (multiplicity 1)
Te 0.3333 0.6667 0.3733 (multiplicity 1)
O 0.6667 0.3333 0.9111 (multiplicity 1)

=====

11.
VASP calculation (GGA-PBE) on a geometry-optimized Tm2TeO6 structure.

## Properties
- Energy relative to the elements, uncorrected: -2.59 eV per atom
- Raw total energy: -7.24 eV/atom
- Density of states at the Fermi level: 0.0 states/eV/cell

Cell lengths 9.0707, 9.0707, 5.1307 Å; angles 90.00, 90.00, 120.00 degrees
Space group P321 (No. 150)
Inequivalent atoms, fractional coordinates:
Tm 0.0000 0.2852 0.0000 (multiplicity 3)
Tm 0.0000 0.6221 0.5000 (multiplicity 3)
Te 0.0000 0.0000 0.5000 (multiplicity 1)
Te 0.3333 0.6667 0.9996 (multiplicity 2)
O 0.0811 0.8782 0.2869 (multiplicity 6)
O 0.1304 0.5435 0.2154 (multiplicity 6)
O 0.2251 0.7632 0.7824 (multiplicity 6)

=====

12.
VASP calculation (GGA-PBE) on a geometry-optimized Tm2Te2O structure.

## Properties
- Energy relative to the elements, uncorrected: -2.08 eV per atom
- Raw total energy: -6.11 eV/atom
- Density of states at the Fermi level: 0.3 states/eV/cell

Cell lengths 13.454, 3.909, 11.227 Å; angles 90.00, 124.34, 90.00 degrees
Space group C2/m (No. 12)
Inequivalent atoms, fractional coordinates:
Tm 0.034 0.000 0.175 (multiplicity 4)
Tm 0.187 0.000 0.570 (multiplicity 4)
Te 0.028 0.500 0.669 (multiplicity 4)
Te 0.164 0.500 0.091 (multiplicity 4)
O 0.214 0.000 0.389 (multiplicity 4)

=====

13.
VASP calculation (GGA-PBE) on a geometry-optimized Tm2TeO6 structure.

## Properties
- Energy relative to the elements, uncorrected: -2.55 eV per atom
- Raw total energy: -7.20 eV/atom
- Density of states at the Fermi level: 0.0 states/eV/cell

Cell lengths 5.480, 5.517, 8.864 Å; angles 90.00, 90.00, 90.00 degrees
Space group Pnnm (No. 58)
Inequivalent atoms, fractional coordinates:
Tm 0.000 0.000 0.203 (multiplicity 4)
Te 0.000 0.500 0.000 (multiplicity 2)
O 0.175 0.197 0.000 (multiplicity 4)
O 0.203 0.646 0.158 (multiplicity 8)

=====

14.
VASP calculation (GGA-PBE) on a geometry-optimized Tm4Te3O structure.

## Properties
- Energy relative to the elements, uncorrected: -1.47 eV per atom
- Raw total energy: -5.50 eV/atom
- Density of states at the Fermi level: 8.8 states/eV/cell

Cell lengths 9.563, 7.943, 6.080 Å; angles 90.00, 90.00, 90.00 degrees
Space group Pmn2_1 (No. 31)
Inequivalent atoms, fractional coordinates:
Tm 0.000 0.123 0.000 (multiplicity 2)
Tm 0.000 0.870 0.494 (multiplicity 2)
Tm 0.194 0.756 0.987 (multiplicity 4)
Te 0.000 0.244 0.504 (multiplicity 2)
Te 0.247 0.639 0.490 (multiplicity 4)
O 0.000 0.861 0.849 (multiplicity 2)

=====

15.
VASP calculation (GGA-PBE) on a geometry-optimized Tm2Te4O11 structure.

## Properties
- Energy relative to the elements, uncorrected: -1.86 eV per atom
- Raw total energy: -6.33 eV/atom
- Density of states at the Fermi level: 0.0 states/eV/cell

Cell lengths 12.383, 5.127, 16.279 Å; angles 90.00, 105.10, 90.00 degrees
Space group C2/c (No. 15)
Inequivalent atoms, fractional coordinates:
Tm 0.120 0.248 0.037 (multiplicity 8)
Te 0.122 0.283 0.697 (multiplicity 8)
Te 0.128 0.283 0.376 (multiplicity 8)
O 0.000 0.148 0.750 (multiplicity 4)
O 0.023 0.428 0.594 (multiplicity 8)
O 0.068 0.103 0.456 (multiplicity 8)
O 0.149 0.057 0.165 (multiplicity 8)
O 0.208 0.453 0.950 (multiplicity 8)
O 0.246 0.440 0.626 (multiplicity 8)

=====

16.
VASP calculation (GGA-PBE) on a geometry-optimized TmTeO4 structure.

## Properties
- Energy relative to the elements, uncorrected: -2.10 eV per atom
- Raw total energy: -6.68 eV/atom
- Density of states at the Fermi level: 0.0 states/eV/cell

Cell lengths 5.386, 4.926, 12.712 Å; angles 90.00, 90.25, 90.00 degrees
Space group Pc (No. 7)
Inequivalent atoms, fractional coordinates:
Tm 0.000 0.247 0.000 (multiplicity 2)
Tm 0.500 0.249 0.662 (multiplicity 2)
Te 0.003 0.252 0.254 (multiplicity 2)
Te 0.500 0.253 0.405 (multiplicity 2)
O 0.163 0.468 0.142 (multiplicity 2)
O 0.217 0.491 0.396 (multiplicity 2)
O 0.338 0.043 0.514 (multiplicity 2)
O 0.341 0.028 0.287 (multiplicity 2)
O 0.643 0.475 0.288 (multiplicity 2)
O 0.666 0.457 0.515 (multiplicity 2)
O 0.779 0.010 0.393 (multiplicity 2)
O 0.846 0.026 0.144 (multiplicity 2)

=====

17.
VASP calculation (GGA-PBE) on a geometry-optimized Tm2Te5O13 structure.

## Properties
- Energy relative to the elements, uncorrected: -1.75 eV per atom
- Raw total energy: -6.21 eV/atom
- Density of states at the Fermi level: 0.0 states/eV/cell

Cell lengths 6.945, 8.750, 10.732 Å; angles 88.91, 87.19, 74.92 degrees
Space group P-1 (No. 2)
Inequivalent atoms, fractional coordinates:
Tm 0.003 0.241 0.240 (multiplicity 2)
Tm 0.447 0.970 0.820 (multiplicity 2)
Te 0.126 0.853 0.104 (multiplicity 2)
Te 0.156 0.302 0.645 (multiplicity 2)
Te 0.270 0.896 0.488 (multiplicity 2)
Te 0.292 0.375 0.977 (multiplicity 2)
Te 0.445 0.401 0.300 (multiplicity 2)
O 0.039 0.852 0.568 (multiplicity 2)
O 0.058 0.318 0.042 (multiplicity 2)
O 0.068 0.766 0.275 (multiplicity 2)
O 0.069 0.516 0.694 (multiplicity 2)
O 0.128 0.992 0.899 (multiplicity 2)
O 0.234 0.000 0.186 (multiplicity 2)
O 0.316 0.236 0.285 (multiplicity 2)
O 0.322 0.731 0.777 (multiplicity 2)
O 0.333 0.236 0.776 (multiplicity 2)
O 0.337 0.014 0.620 (multiplicity 2)
O 0.354 0.482 0.123 (multiplicity 2)
O 0.458 0.694 0.521 (multiplicity 2)
O 0.471 0.169 0.001 (multiplicity 2)